Record 1
La2AlTlPd6 | PBE | relaxed

Output
formation energy	-0.62	eV/atom
calculated volume	479.9	Å³/cell

a b c (Å): 9.9616 5.7511 9.0031
angles (deg): 90.00 111.51 90.00
Space group C2/m (No. 12)
Unique sites:
La  0.2114  0.0000  0.1350 [4 per cell]
Al  0.0000  0.5000  0.0000 [2 per cell]
Tl  0.0000  0.0000  0.5000 [2 per cell]
Pd  0.0117  0.2456  0.7797 [8 per cell]
Pd  0.2423  0.5000  0.2209 [4 per cell]

=====

Record 2
LaEr3Bi3 | PBE | relaxed

Output
formation energy	-0.63	eV/atom
calculated volume	1400.5	Å³/cell

a b c (Å): 9.2824 9.2824 18.7687
angles (deg): 90.00 90.00 120.00
Space group R-3 (No. 148, hexagonal axes)
Unique sites:
La  0.0000  0.0000  0.1657 [6 per cell]
Er  0.9997  0.2589  0.4186 [18 per cell]
Bi  0.0018  0.6200  0.4139 [18 per cell]